1.
Compound: Ba3Zn2In3
Source: the Alexandria database
Functional: PBE
Structure: optimized geometry Values from VASP.

```
&SYSTEM
  ibrav = 0, nat = 8, ntyp = 3
/
ATOMIC_SPECIES
Ba 137.33 Ba.upf
Zn 65.41 Zn.upf
In 114.82 In.upf
CELL_PARAMETERS angstrom
4.441 0.003 0.001
0.005 6.134 -0.065
2.224 1.534 9.943
ATOMIC_POSITIONS angstrom
Ba 4.445 3.178 2.982
Ba 2.225 4.494 6.898
Ba 0.000 0.000 0.000
Zn 4.450 6.250 4.569
Zn 2.220 1.422 5.311
In 2.230 6.168 2.787
In 2.223 3.069 -0.032
In 4.441 1.503 7.093
```

Results
Offset from the most stable computed form = 17.6 meV/atom



2.
Compound: Ba6ZnIn
Source: the Alexandria database
Functional: PBE
Structure: optimized geometry Values from VASP.

```
&SYSTEM
  ibrav = 0, nat = 8, ntyp = 3
/
ATOMIC_SPECIES
Ba 137.33 Ba.upf
Zn 65.41 Zn.upf
In 114.82 In.upf
CELL_PARAMETERS angstrom
-5.210 1.106 2.889
-3.093 -1.791 -4.892
-4.223 -10.682 2.829
ATOMIC_POSITIONS angstrom
Ba -8.340 -5.937 -0.057
Ba -6.815 -8.277 3.587
Ba -5.757 -9.725 -0.303
Ba -5.711 -3.090 -2.761
Ba -4.187 -5.429 0.883
Ba -6.769 -1.641 1.129
Zn 0.000 0.000 0.000
In -4.152 -0.342 -1.002
```

Results
Energy = -0.0769 Ha/atom



3.
Compound: BaZn2In
Source: the Alexandria database
Functional: PBE
Structure: optimized geometry Values from VASP.

```
&SYSTEM
  ibrav = 0, nat = 4, ntyp = 3
/
ATOMIC_SPECIES
Ba 137.33 Ba.upf
Zn 65.41 Zn.upf
In 114.82 In.upf
CELL_PARAMETERS angstrom
-0.683 1.620 3.696
-5.144 -1.842 -0.144
2.622 -4.195 2.324
ATOMIC_POSITIONS angstrom
Ba 2.603 -4.190 2.317
Zn 0.384 -1.600 3.038
Zn -0.514 -3.749 3.814
In -2.445 -1.954 2.670
```

Results
Energy = -0.0696 Ha/atom



Calculated volume for every record listed, in sequence, given in Å³ per cell: 271.3 404.8 119.7.